An optimized crystal structure of Tb7SmY3, computed with PBE.

Lattice parameters (Å, degrees): 8.6488 7.0828 7.0828 120.00 90.00 90.00
Atoms (fractional coordinates):
Tb: 0.1167 0.1679 0.8321
Tb: 0.1167 0.1679 0.3359
Tb: 0.1219 0.6667 0.3333
Tb: 0.4493 0.8320 0.1680
Tb: 0.4493 0.3359 0.1680
Tb: 0.4493 0.8320 0.6641
Tb: 0.1167 0.6641 0.8321
Sm: 0.4437 0.3333 0.6667
Y: 0.7839 0.5003 0.4997
Y: 0.7839 0.5003 0.0005
Y: 0.7839 0.9995 0.4997

Values from the calculation:
density of states at the Fermi level = 18.08 states/eV/f.u.
total magnetic moment = 0.000 Bohr magnetons per cell
ΔH_f (0 K) = 0.1908 eV/atom
SG = P3m1, No. 156

An optimized crystal structure of Tb2Sm4Y, computed with PBE.

Lattice parameters (Å, degrees): 13.2332 6.5632 10.9109 90.00 90.00 90.00
Atoms (fractional coordinates):
Tb: 0.9276 0.0000 0.8376
Tb: 0.4276 0.5000 0.1624
Tb: 0.0724 0.5000 0.6624
Tb: 0.5724 0.0000 0.3376
Tb: 0.0724 0.0000 0.1624
Tb: 0.5724 0.5000 0.8376
Tb: 0.9276 0.5000 0.3376
Tb: 0.4276 0.0000 0.6624
Sm: 0.7500 0.7500 0.5196
Sm: 0.2500 0.7500 0.4804
Sm: 0.2500 0.2500 0.9804
Sm: 0.7500 0.2500 0.0196
Sm: 0.2500 0.2500 0.4804
Sm: 0.7500 0.2500 0.5196
Sm: 0.7500 0.7500 0.0196
Sm: 0.2500 0.7500 0.9804
Sm: 0.1639 0.0000 0.7341
Sm: 0.6639 0.5000 0.2659
Sm: 0.8361 0.5000 0.7659
Sm: 0.3361 0.0000 0.2341
Sm: 0.8361 0.0000 0.2659
Sm: 0.3361 0.5000 0.7341
Sm: 0.1639 0.5000 0.2341
Sm: 0.6639 0.0000 0.7659
Y: 0.0000 0.0000 0.5000
Y: 0.5000 0.5000 0.5000
Y: 0.0000 0.5000 0.0000
Y: 0.5000 0.0000 0.0000

Values from the calculation:
density of states at the Fermi level = 11.76 states/eV/f.u.
total magnetic moment = 0.000 Bohr magnetons per cell
ΔH_f (0 K) = 0.1904 eV/atom
SG = Cmce, No. 64

An optimized crystal structure of Tb5Sm8Y, computed with PBE.

Lattice parameters (Å, degrees): 8.5384 8.5384 8.5384 111.13 106.20 111.13
Atoms (fractional coordinates):
Tb: 0.0352 0.3164 0.1346
Tb: 0.8654 0.9007 0.1818
Tb: 0.8182 0.6836 0.7188
Tb: 0.5000 0.0000 0.5000
Tb: 0.2812 0.0993 0.9648
Sm: 0.1668 0.7366 0.0774
Sm: 0.9226 0.0894 0.6592
Sm: 0.7276 0.2548 0.3325
Sm: 0.6675 0.3952 0.9223
Sm: 0.5271 0.6048 0.2724
Sm: 0.5698 0.9106 0.8332
Sm: 0.3408 0.2634 0.4302
Sm: 0.0777 0.7452 0.4729
Y: 0.2500 0.5000 0.7500

Values from the calculation:
density of states at the Fermi level = 20.73 states/eV/f.u.
total magnetic moment = 0.000 Bohr magnetons per cell
ΔH_f (0 K) = 0.2495 eV/atom
SG = I-4, No. 82

An optimized crystal structure of TbSm2Y12, computed with PBE.

Lattice parameters (Å, degrees): 6.7112 6.7112 24.8549 90.00 90.00 116.20
Atoms (fractional coordinates):
Tb: 0.5000 0.0000 0.0000
Tb: 0.0000 0.5000 0.0000
Sm: 0.5000 0.0000 0.2675
Sm: 0.0000 0.5000 0.2677
Sm: 0.0000 0.5000 0.7325
Sm: 0.5000 0.0000 0.7323
Y: 0.5000 0.5000 0.8013
Y: 0.0000 0.0000 0.8013
Y: 0.7500 0.7500 0.9231
Y: 0.2500 0.7500 0.8731
Y: 0.0000 0.0000 0.3268
Y: 0.2500 0.7500 0.1269
Y: 0.7507 0.2507 0.5855
Y: 0.5000 0.5000 0.3268
Y: 0.2500 0.2500 0.9231
Y: 0.7500 0.7500 0.0769
Y: 0.2509 0.2491 0.5618
Y: 0.7493 0.2493 0.4145
Y: 0.0000 0.0000 0.6732
Y: 0.2491 0.2509 0.4382
Y: 0.2500 0.2500 0.0769
Y: 0.7509 0.7491 0.4382
Y: 0.7491 0.7509 0.5618
Y: 0.0000 0.0000 0.1987
Y: 0.2493 0.7493 0.5855
Y: 0.5000 0.5000 0.6732
Y: 0.7500 0.2500 0.8731
Y: 0.5000 0.5000 0.1987
Y: 0.2507 0.7507 0.4145
Y: 0.7500 0.2500 0.1269

Values from the calculation:
density of states at the Fermi level = 27.84 states/eV/f.u.
total magnetic moment = 0.005 Bohr magnetons per cell
ΔH_f (0 K) = 0.1710 eV/atom
SG = Cmme, No. 67